No. 1
## GdNiSnIr (GGA-PBE)

Data for a geometry-optimized GdNiSnIr structure.

E: -8.6292 eV per atom

abc: 4.7014 4.7014 4.7014
angles: 60.00 60.00 60.00
Element x y z (fractional)
Gd (0.0000, 0.0000, 0.0000)
Ni (0.7500, 0.7500, 0.7500)
Sn (0.5000, 0.5000, 0.5000)
Ir (0.2500, 0.2500, 0.2500)


No. 2
## GdThNiIr (GGA-PBE)

Data for a geometry-optimized GdThNiIr structure.

E: -9.5922 eV per atom

abc: 4.9524 4.9524 4.9524
angles: 60.00 60.00 60.00
Element x y z (fractional)
Gd (0.0000, 0.0000, 0.0000)
Th (0.5000, 0.5000, 0.5000)
Ni (0.2500, 0.2500, 0.2500)
Ir (0.7500, 0.7500, 0.7500)